Record 1
VASP calculation (PBE) on crystalline NaRuIN2 at its relaxed geometry.

a = 4.3543 Å, b = 4.3543 Å, c = 6.1918 Å
α = 90.00°, β = 90.00°, γ = 90.00°
Closest atoms and distances in Å follow each position.
Atoms (fractional coordinates):
I (0.0000, 0.0000, 0.5000)  4 Ru 3.08, 2 Na 3.10
Ru (0.5000, 0.5000, 0.5000)  4 I 3.08
N (0.0000, 0.5000, 0.0000)  2 Na 2.18
N (0.5000, 0.0000, 0.0000)  2 Na 2.18
Na (0.0000, 0.0000, 0.0000)  4 N 2.18

Results
- Formation energy without anion corrections: 11.9 eV per formula unit
- Relative energy among the computed polymorphs: 9.478 eV per formula unit
- SG: P4/mmm, No. 123
- VASP energy: -16.923 eV per cell

---

Record 2
VASP calculation (PBE) on crystalline PuCoIr2 at its relaxed geometry.

a = 3.9863 Å, b = 4.0004 Å, c = 4.0004 Å
α = 90.00°, β = 90.00°, γ = 90.00°
Closest atoms and distances in Å follow each position.
Atoms (fractional coordinates):
Ir (0.0000, 0.0000, 0.5000)  4 Co 2.82, 4 Pu 2.82, 4 Ir 2.83
Ir (0.0000, 0.5000, 0.0000)  4 Co 2.82, 4 Pu 2.82, 4 Ir 2.83
Co (0.5000, 0.5000, 0.5000)  8 Ir 2.82, 4 Pu 2.83
Pu (0.5000, 0.0000, 0.0000)  8 Ir 2.82, 4 Co 2.83

Results
- SG: P4/mmm, No. 123
- VASP energy: -40.118 eV per cell

---

Record 3
VASP calculation (PBE) on crystalline Ac4Te2H9 at its relaxed geometry.

a = 4.2553 Å, b = 4.2553 Å, c = 16.3527 Å
α = 90.00°, β = 90.00°, γ = 120.00°
Closest atoms and distances in Å follow each position.
Atoms (fractional coordinates):
Ac (0.3333, 0.6667, 0.3958)  7 H 2.48-2.62
Ac (0.6667, 0.3333, 0.6042)  7 H 2.48-2.62
Ac (0.6667, 0.3333, 0.8909)  7 H 2.46-2.66
Ac (0.3333, 0.6667, 0.1091)  7 H 2.46-2.66
Te (0.3333, 0.6667, 0.7482)  8 H 3.17-3.51, 6 Ac 3.39-3.40
Te (0.6667, 0.3333, 0.2518)  8 H 3.17-3.51, 6 Ac 3.39-3.40
H (0.0000, 0.0000, 0.3740)  1 H 2.06
H (0.0000, 0.0000, 0.6260)  1 H 2.06
H (0.0000, 0.0000, 0.9015)  3 Ac 2.46, 3 H 2.60
H (0.0000, 0.0000, 0.0985)  3 Ac 2.46, 3 H 2.60
H (0.3333, 0.6667, 0.5482)  4 Ac 2.49-2.62, 6 H 2.58-2.77
H (0.6667, 0.3333, 0.4518)  4 Ac 2.49-2.62, 6 H 2.58-2.77
H (0.6667, 0.3333, 0.0471)  4 Ac 2.56-2.66, 3 H 2.60
H (0.3333, 0.6667, 0.9529)  4 Ac 2.56-2.66, 3 H 2.60
H (0.0000, 0.0000, 0.5000)  2 H 2.06

Results
- SG: P-3m1, No. 164
- VASP energy: -63.529 eV per cell

---

Record 4
VASP calculation (PBE) on crystalline Nd6InIr2Br3 at its relaxed geometry.

a = 4.1597 Å, b = 9.2196 Å, c = 10.3398 Å
α = 106.92°, β = 101.60°, γ = 90.00°
Closest atoms and distances in Å follow each position.
Atoms (fractional coordinates):
Nd (0.3362, 0.8685, 0.6724)  2 Ir 2.84, 1 In 3.18
Nd (0.6836, 0.5665, 0.3671)  3 Ir 2.83-2.87
Nd (0.6638, 0.1315, 0.3276)  2 Ir 2.84, 1 In 3.18
Nd (0.0270, 0.2665, 0.0540)  1 Ir 2.77
Nd (0.9730, 0.7335, 0.9460)  1 Ir 2.77
Nd (0.3164, 0.4335, 0.6329)  3 Ir 2.83-2.87
In (0.5000, 0.0000, 0.0000)  6 Nd 3.14-3.18
Ir (0.8298, 0.6548, 0.6596)  6 Nd 2.77-2.87
Ir (0.1702, 0.3452, 0.3404)  6 Nd 2.77-2.87
Br (0.5000, 0.5000, 0.0000)  4 Nd 3.16
Br (0.8317, 0.1542, 0.6634)  5 Nd 3.35-3.39
Br (0.1683, 0.8458, 0.3366)  5 Nd 3.35-3.39

Results
- Formation energy without anion corrections: -11.7 eV per formula unit
- SG: C2/m, No. 12
- VASP energy: -65.791 eV per cell